# BaSeI2 (PBE, optimized geometry)
# Size of the total moment: 0.50 μB per atom
# Raw formation energy: -3.192 eV per formula unit
# E above lowest polymorph: 0.0 meV/atom
# Energy: -2.92 eV per atom
# DOS at the Fermi energy: 7.8 states/eV/f.u.
data_BaSeI2
_chemical_formula_sum 'Ba4 Se4 I8'
_symmetry_space_group_name_H-M 'F m -3 m'
_symmetry_Int_Tables_number 225
_symmetry_space_group_name_Hall '-F 4 2 3'
_cell_length_a 8.4592
_cell_length_b 8.4592
_cell_length_c 8.4592
_cell_angle_alpha 90.00
_cell_angle_beta 90.00
_cell_angle_gamma 90.00
loop_
_atom_site_label
_atom_site_fract_x
_atom_site_fract_y
_atom_site_fract_z
Ba1 0.0000 0.0000 0.0000
Se1 0.0000 0.0000 0.5000
I1 0.2500 0.2500 0.2500